1.
First-principles (PBE) data for an optimized crystal structure of Ca2LaW, as listed in Alexandria via LeMat-Bulk.

Values from the calculation:
ΔH_f (0 K): 0.781 eV per atom
total magnetization: 2.215 Bohr magnetons per cell
polymorph energy (0 for the lowest one): 61 kJ/mol of formula units
N(E_F): 6.15 states/eV/f.u.

Cell lengths 5.447, 5.447, 5.447 Å; angles 60.00, 60.00, 60.00 degrees
Fractional positions:
Ca 0.000 0.000 0.000
Ca 0.250 0.250 0.250
La 0.500 0.500 0.500
W 0.750 0.750 0.750

---

2.
First-principles (PBE) data for an optimized crystal structure of CaLa2W, as listed in Alexandria via LeMat-Bulk.

Values from the calculation:
ΔH_f (0 K): 0.687 eV per atom
total magnetization: 0.769 Bohr magnetons per cell
polymorph energy (0 for the lowest one): 102 kJ/mol of formula units
N(E_F): 5.89 states/eV/f.u.

Cell lengths 5.133, 5.133, 4.277 Å; angles 90.00, 90.00, 90.00 degrees
Fractional positions:
Ca 0.000 0.000 0.000
La 0.000 0.500 0.500
La 0.500 0.000 0.500
W 0.500 0.500 0.000

---

3.
First-principles (PBE) data for an optimized crystal structure of CaLaW, as listed in Alexandria via LeMat-Bulk.

Values from the calculation:
ΔH_f (0 K): 1.591 eV per atom
total magnetization: 2.968 Bohr magnetons per cell
polymorph energy (0 for the lowest one): 240 kJ/mol of formula units
N(E_F): 2.29 states/eV/f.u.

Cell lengths 5.060, 5.060, 5.060 Å; angles 60.00, 60.00, 60.00 degrees
Fractional positions:
Ca 0.000 0.000 0.000
La 0.250 0.250 0.250
W 0.500 0.500 0.500

---

4.
First-principles (PBE) data for an optimized crystal structure of CaLaW, as listed in Alexandria via LeMat-Bulk.

Values from the calculation:
ΔH_f (0 K): 0.772 eV per atom
total magnetization: 0.000 Bohr magnetons per cell
polymorph energy (0 for the lowest one): 3 kJ/mol of formula units
N(E_F): 3.29 states/eV/f.u.

Cell lengths 8.496, 8.496, 8.496 Å; angles 158.78, 158.78, 30.19 degrees
Fractional positions:
Ca 0.000 0.000 0.000
La 0.284 0.284 0.000
W 0.641 0.641 0.000

---

5.
First-principles (PBE) data for an optimized crystal structure of CaLaW2, as listed in Alexandria via LeMat-Bulk.

Values from the calculation:
ΔH_f (0 K): 1.108 eV per atom
total magnetization: 0.430 Bohr magnetons per cell
polymorph energy (0 for the lowest one): 262 kJ/mol of formula units
N(E_F): 5.66 states/eV/f.u.

Cell lengths 11.255, 11.255, 11.255 Å; angles 15.32, 15.32, 15.32 degrees
Fractional positions:
Ca 0.000 0.000 0.000
La 0.500 0.500 0.500
W 0.253 0.253 0.253
W 0.747 0.747 0.747

---

6.
First-principles (PBE) data for an optimized crystal structure of CaLa2W, as listed in Alexandria via LeMat-Bulk.

Values from the calculation:
ΔH_f (0 K): 0.764 eV per atom
total magnetization: 0.520 Bohr magnetons per cell
polymorph energy (0 for the lowest one): 131 kJ/mol of formula units
N(E_F): 6.98 states/eV/f.u.

Cell lengths 5.385, 5.385, 5.385 Å; angles 60.00, 60.00, 60.00 degrees
Fractional positions:
Ca 0.000 0.000 0.000
La 0.500 0.500 0.500
La 0.750 0.750 0.750
W 0.250 0.250 0.250

---

7.
First-principles (PBE) data for an optimized crystal structure of CaLa2W, as listed in Alexandria via LeMat-Bulk.

Values from the calculation:
ΔH_f (0 K): 0.644 eV per atom
total magnetization: 0.000 Bohr magnetons per cell
polymorph energy (0 for the lowest one): 85 kJ/mol of formula units
N(E_F): 5.25 states/eV/f.u.

Cell lengths 3.333, 3.333, 11.411 Å; angles 90.00, 90.00, 112.07 degrees
Fractional positions:
Ca 0.000 0.000 0.000
La 0.000 0.000 0.603
La 0.500 0.500 0.297
W 0.500 0.500 0.788

---

8.
First-principles (PBE) data for an optimized crystal structure of CaLa2W, as listed in Alexandria via LeMat-Bulk.

Values from the calculation:
ΔH_f (0 K): 0.778 eV per atom
total magnetization: 0.002 Bohr magnetons per cell
polymorph energy (0 for the lowest one): 137 kJ/mol of formula units
N(E_F): 5.76 states/eV/f.u.

Cell lengths 6.477, 6.477, 3.169 Å; angles 102.97, 102.97, 115.86 degrees
Fractional positions:
Ca 0.000 0.000 0.000
La 0.000 0.500 0.500
La 0.500 0.000 0.500
W 0.500 0.500 0.000

---

9.
First-principles (PBE) data for an optimized crystal structure of Ca2LaW, as listed in Alexandria via LeMat-Bulk.

Values from the calculation:
ΔH_f (0 K): 0.791 eV per atom
total magnetization: 0.002 Bohr magnetons per cell
polymorph energy (0 for the lowest one): 65 kJ/mol of formula units
N(E_F): 5.37 states/eV/f.u.

Cell lengths 11.976, 11.976, 11.976 Å; angles 15.92, 15.92, 15.92 degrees
Fractional positions:
Ca 0.236 0.236 0.236
Ca 0.764 0.764 0.764
La 0.000 0.000 0.000
W 0.500 0.500 0.500

---

10.
First-principles (PBE) data for an optimized crystal structure of CaLaW2, as listed in Alexandria via LeMat-Bulk.

Values from the calculation:
ΔH_f (0 K): 0.944 eV per atom
total magnetization: 0.000 Bohr magnetons per cell
polymorph energy (0 for the lowest one): 199 kJ/mol of formula units
N(E_F): 3.05 states/eV/f.u.

Cell lengths 2.853, 5.289, 5.897 Å; angles 90.00, 95.79, 90.00 degrees
Fractional positions:
Ca 0.000 0.000 0.000
La 0.000 0.000 0.500
W 0.451 0.500 0.720
W 0.549 0.500 0.280

---

11.
First-principles (PBE) data for an optimized crystal structure of Ca2LaW, as listed in Alexandria via LeMat-Bulk.

Values from the calculation:
ΔH_f (0 K): 0.872 eV per atom
total magnetization: 0.002 Bohr magnetons per cell
polymorph energy (0 for the lowest one): 96 kJ/mol of formula units
N(E_F): 6.26 states/eV/f.u.

Cell lengths 6.285, 6.285, 3.169 Å; angles 90.00, 90.00, 120.39 degrees
Fractional positions:
Ca 0.000 0.500 0.000
Ca 0.500 0.000 0.000
La 0.000 0.000 0.500
W 0.500 0.500 0.500

---

12.
First-principles (PBE) data for an optimized crystal structure of Ca2LaW, as listed in Alexandria via LeMat-Bulk.

Values from the calculation:
ΔH_f (0 K): 0.748 eV per atom
total magnetization: 0.000 Bohr magnetons per cell
polymorph energy (0 for the lowest one): 48 kJ/mol of formula units
N(E_F): 6.59 states/eV/f.u.

Cell lengths 3.149, 3.149, 11.345 Å; angles 90.00, 90.00, 91.21 degrees
Fractional positions:
Ca 0.000 0.000 0.203
Ca 0.000 0.000 0.797
La 0.500 0.500 0.500
W 0.500 0.500 0.000

---

13.
First-principles (PBE) data for an optimized crystal structure of Ca2LaW, as listed in Alexandria via LeMat-Bulk.

Values from the calculation:
ΔH_f (0 K): 0.714 eV per atom
total magnetization: 0.397 Bohr magnetons per cell
polymorph energy (0 for the lowest one): 35 kJ/mol of formula units
N(E_F): 5.97 states/eV/f.u.

Cell lengths 11.275, 11.275, 11.275 Å; angles 18.41, 18.41, 18.41 degrees
Fractional positions:
Ca 0.000 0.000 0.000
Ca 0.232 0.232 0.232
La 0.464 0.464 0.464
W 0.736 0.736 0.736

---

14.
First-principles (PBE) data for an optimized crystal structure of CaLaW2, as listed in Alexandria via LeMat-Bulk.

Values from the calculation:
ΔH_f (0 K): 1.050 eV per atom
total magnetization: 0.094 Bohr magnetons per cell
polymorph energy (0 for the lowest one): 240 kJ/mol of formula units
N(E_F): 4.23 states/eV/f.u.

Cell lengths 5.436, 5.436, 6.198 Å; angles 91.93, 91.93, 29.98 degrees
Fractional positions:
Ca 0.000 0.000 0.000
La 0.500 0.500 0.500
W 0.256 0.256 0.801
W 0.744 0.744 0.199

---

15.
First-principles (PBE) data for an optimized crystal structure of Ca2LaW, as listed in Alexandria via LeMat-Bulk.

Values from the calculation:
ΔH_f (0 K): 0.623 eV per atom
total magnetization: 0.002 Bohr magnetons per cell
polymorph energy (0 for the lowest one): 0 kJ/mol of formula units
N(E_F): 5.32 states/eV/f.u.

Cell lengths 3.666, 3.666, 9.198 Å; angles 90.00, 90.00, 90.00 degrees
Fractional positions:
Ca 0.000 0.000 0.000
Ca 0.500 0.500 0.323
La 0.000 0.000 0.627
W 0.500 0.500 0.791

---

16.
First-principles (PBE) data for an optimized crystal structure of CaLa2W, as listed in Alexandria via LeMat-Bulk.

Values from the calculation:
ΔH_f (0 K): 0.580 eV per atom
total magnetization: 0.000 Bohr magnetons per cell
polymorph energy (0 for the lowest one): 60 kJ/mol of formula units
N(E_F): 4.87 states/eV/f.u.

Cell lengths 11.210, 11.210, 11.210 Å; angles 18.84, 18.84, 18.84 degrees
Fractional positions:
Ca 0.000 0.000 0.000
La 0.231 0.231 0.231
La 0.769 0.769 0.769
W 0.500 0.500 0.500

---

17.
First-principles (PBE) data for an optimized crystal structure of CaLaW2, as listed in Alexandria via LeMat-Bulk.

Values from the calculation:
ΔH_f (0 K): 0.634 eV per atom
total magnetization: 0.000 Bohr magnetons per cell
polymorph energy (0 for the lowest one): 79 kJ/mol of formula units
N(E_F): 4.30 states/eV/f.u.

Cell lengths 3.084, 3.084, 10.694 Å; angles 90.00, 90.00, 112.94 degrees
Fractional positions:
Ca 0.000 0.000 0.000
La 0.500 0.500 0.664
W 0.000 0.000 0.419
W 0.500 0.500 0.242

---

18.
First-principles (PBE) data for an optimized crystal structure of Ca4LaW, as listed in Alexandria via LeMat-Bulk.

Values from the calculation:
ΔH_f (0 K): 1.015 eV per atom
total magnetization: 3.001 Bohr magnetons per cell
N(E_F): 7.87 states/eV/f.u.

Cell lengths 6.641, 6.641, 6.641 Å; angles 60.00, 60.00, 60.00 degrees
Fractional positions:
Ca 0.376 0.376 0.376
Ca 0.376 0.376 0.873
Ca 0.376 0.873 0.376
Ca 0.873 0.376 0.376
La 0.000 0.000 0.000
W 0.750 0.750 0.750

---

19.
First-principles (PBE) data for an optimized crystal structure of CaLa2W, as listed in Alexandria via LeMat-Bulk.

Values from the calculation:
ΔH_f (0 K): 0.568 eV per atom
total magnetization: 0.000 Bohr magnetons per cell
polymorph energy (0 for the lowest one): 56 kJ/mol of formula units
N(E_F): 3.30 states/eV/f.u.

Cell lengths 5.366, 5.366, 5.366 Å; angles 60.00, 60.00, 60.00 degrees
Fractional positions:
Ca 0.000 0.000 0.000
La 0.250 0.250 0.250
La 0.750 0.750 0.750
W 0.500 0.500 0.500

---

20.
First-principles (PBE) data for an optimized crystal structure of CaLaW, as listed in Alexandria via LeMat-Bulk.

Values from the calculation:
ΔH_f (0 K): 0.828 eV per atom
total magnetization: 0.000 Bohr magnetons per cell
polymorph energy (0 for the lowest one): 19 kJ/mol of formula units
N(E_F): 3.74 states/eV/f.u.

Cell lengths 5.425, 5.425, 2.881 Å; angles 90.00, 90.00, 120.00 degrees
Fractional positions:
Ca 0.000 0.000 0.000
La 0.333 0.667 0.000
W 0.667 0.333 0.500